[1]
Density functional theory data (PBE) for a geometry-optimized Pa3Sb4Rh3 structure.

Lattice parameters (Å, degrees): 9.636 9.636 9.636 90.00 90.00 90.00
Space group I-43d (No. 220)
Inequivalent atoms, fractional coordinates:
Pa: 0.000 0.250 0.875
Sb: 0.086 0.414 0.586
Rh: 0.000 0.250 0.375

Raw formation energy (eV/atom): -0.85


[2]
Density functional theory data (PBE) for a geometry-optimized CaMn4Mo structure.

Lattice parameters (Å, degrees): 6.935 6.935 6.935 90.00 90.00 90.00
Space group F-43m (No. 216)
Inequivalent atoms, fractional coordinates:
Ca: 0.000 0.000 0.000
Mn: 0.125 0.125 0.625
Mo: 0.250 0.250 0.250

Formation energy (eV/atom): 0.362
D(E_F) (states/eV/cell): 28.93


[3]
Density functional theory data (PBE) for a geometry-optimized BSbTe2S structure.

Lattice parameters (Å, degrees): 4.754 4.754 5.026 90.00 90.00 90.00
Space group P4/mmm (No. 123)
Inequivalent atoms, fractional coordinates:
B: 0.000 0.000 0.000
Sb: 0.000 0.000 0.500
Te: 0.000 0.500 0.000
S: 0.500 0.500 0.500

Energy above the lowest structure with this stoichiometry (eV per atom): 0.000
Raw formation energy (eV/atom): 0.85
D(E_F) (states/eV/cell): 3.37


[4]
Density functional theory data (PBE) for a geometry-optimized Ba3GeF structure.

Lattice parameters (Å, degrees): 5.456 5.456 5.456 90.00 90.00 90.00
Space group Pm-3m (No. 221)
Inequivalent atoms, fractional coordinates:
Ba: 0.000 0.000 0.500
Ge: 0.500 0.500 0.500
F: 0.000 0.000 0.000

Energy above the lowest structure with this stoichiometry (eV per atom): 0.131
Raw formation energy (eV/atom): -1.21
D(E_F) (states/eV/cell): 2.77


[5]
Density functional theory data (PBE) for a geometry-optimized Sr2RuAu structure.

Lattice parameters (Å, degrees): 3.699 5.034 11.343 90.00 90.00 90.00
Space group Imm2 (No. 44)
Inequivalent atoms, fractional coordinates:
Sr: 0.000 0.000 0.000
Sr: 0.000 0.500 0.212
Ru: 0.000 0.000 0.452
Au: 0.000 0.500 0.776

Formation energy (eV/atom): 0.072
D(E_F) (states/eV/cell): 7.32


no.,calculated total energy (eV/atom)
1,-7.555
2,-7.890
3,-3.391
4,-3.664
5,-3.908